{
  "formula": "AcBiBO5",
  "functional": "PBE",
  "state": "optimized geometry",
  "raw_formation_energy_ev_per_atom": -2.08,
  "m_tot_mub_per_fu": 0.00,
  "space_group": "No. 15",
  "lattice_angstrom": [[3.4027, -4.6751, 0.0000], [3.4027, 4.6751, 0.0000], [-2.5518, 0.0000, 7.0818]],
  "species": ["Ac", "Ac", "Bi", "Bi", "B", "B", "O", "O", "O", "O", "O", "O", "O", "O", "O", "O"],
  "frac_coords": [[0.1422, 0.8578, 0.7500], [0.8578, 0.1422, 0.2500], [0.5000, 0.5000, 0.0000], [0.5000, 0.5000, 0.5000], [0.1900, 0.8100, 0.2500], [0.8100, 0.1900, 0.7500], [0.0542, 0.2344, 0.9040], [0.1653, 0.6056, 0.3497], [0.2344, 0.0542, 0.4040], [0.3944, 0.8347, 0.1503], [0.4015, 0.5985, 0.7500], [0.5985, 0.4015, 0.2500], [0.6056, 0.1653, 0.8497], [0.7656, 0.9458, 0.5960], [0.8347, 0.3944, 0.6503], [0.9458, 0.7656, 0.0960]]
}